20
Lattice="5.3972 0.0000 0.0000 0.0000 5.7035 0.0000 0.0000 0.0000 7.8658" Properties=species:S:1:pos:R:3 comment="HoScO3, relaxed, DFT PBE" spacegroup="Pnma (62)" pbc="T T T"
Ho 2.5952 2.4878 1.9665
Ho 0.1034 5.3395 1.9665
Ho 5.2938 0.3640 5.8994
Ho 2.8020 3.2157 5.8994
O 1.0186 1.0946 0.5377
O 1.6799 3.9464 0.5377
O 3.4125 0.3346 1.9665
O 4.6833 3.1863 1.9665
O 1.0186 1.0946 3.3952
O 1.6799 3.9464 3.3952
O 3.7172 1.7571 4.4706
O 4.3785 4.6089 4.4706
O 0.7139 2.5172 5.8994
O 1.9847 5.3689 5.8994
O 3.7172 1.7571 7.3281
O 4.3785 4.6089 7.3281
Sc 2.6986 0.0000 0.0000
Sc 0.0000 2.8518 0.0000
Sc 2.6986 0.0000 3.9329
Sc 0.0000 2.8518 3.9329

---

9
Lattice="-3.9572 -5.1778 3.2069 0.6173 -2.4225 -3.1497 3.3150 -1.4435 1.7600" Properties=species:S:1:pos:R:3 comment="Ho2Sc2O5, relaxed, DFT PBE" polymorph_energy_ev_per_atom=0.000 spacegroup="P4/mmm (123)" pbc="T T T"
Ho 0.0000 0.0000 0.0000
Ho -1.9786 -2.5889 1.6034
O -0.6062 -2.4083 -0.8335
O -2.7338 -5.1921 0.8907
O 0.7427 -1.9188 1.6214
O -1.3849 -4.7025 3.3455
O -0.0125 -4.5219 0.9086
Sc 1.0680 -3.1081 0.0330
Sc -1.0930 -5.9357 1.7842

---

Number 1: raw total energy -8.7022 eV per atom. Number 2: raw total energy -8.0389 eV per atom.